First-principles (PBE) data for a relaxed structure of Cd2SbH, as listed in Alexandria.

For the total DFT energy (no corrections), the calculation gives -0.0697 Ha/atom. The calculation puts the offset from the most stable computed form at 313 meV per atom.

The space group is Fm-3m (No. 225) and the conventional cell measures 6.9279, 6.9279 and 6.9279 Å, with angles of 90.00, 90.00 and 90.00 degrees. The inequivalent atoms are Cd at (0.2500, 0.2500, 0.2500), Sb at (0.0000, 0.0000, 0.0000) and H at (0.0000, 0.0000, 0.5000).